# 1
A crystal of VOF3 relaxed with PBEsol. Source: the Alexandria database, functional meta-GGA SCAN.

- Uncorrected energy: -96.5 eV per cell
- Raw formation energy: -2.781 eV/atom

Structure (POSCAR):
```
VOF3
1.0
-4.252 -3.463 0.413
3.279 -4.008 0.155
1.650 -1.467 4.689
F O V
6 2 2
Cartesian
-2.128 -5.593 3.750
0.425 -2.707 1.494
-2.238 -3.735 1.094
2.414 -4.690 3.304
2.861 -3.464 1.078
0.939 -7.033 4.105
0.567 -5.173 1.708
0.058 -3.653 3.945
0.103 -6.370 0.729
1.201 -3.541 2.810
```

=====

# 2
A crystal of V2O3F relaxed with PBEsol. Source: the Alexandria database, functional meta-GGA SCAN.

- Uncorrected energy: -148.0 eV per cell
- Energy above the lowest structure with this stoichiometry: 18 meV/atom
- Raw formation energy: -2.795 eV/atom

Structure (POSCAR):
```
V2O3F
1.0
5.443 -0.108 -0.021
-2.380 4.896 0.021
1.804 2.220 4.632
F O V
2 6 4
Cartesian
2.531 1.754 3.268
2.335 5.253 1.364
1.998 0.409 0.915
1.338 4.205 3.717
3.529 2.803 0.915
5.249 1.703 3.696
4.013 4.180 3.213
0.853 2.828 1.419
5.131 3.465 4.445
-0.264 3.543 0.187
0.902 1.110 2.316
2.433 3.504 2.316
```

=====

# 3
A crystal of V2O3F relaxed with PBEsol. Source: the Alexandria database, functional meta-GGA SCAN.

- Uncorrected energy: -295.1 eV per cell
- Energy above the lowest structure with this stoichiometry: 54 meV/atom
- Raw formation energy: -2.759 eV/atom

Structure (POSCAR):
```
V2O3F
1.0
-3.568 4.264 1.209
-1.357 -2.717 5.578
6.777 1.237 2.251
V O F
8 12 4
Cartesian
2.710 -0.740 3.914
-2.462 0.773 3.393
2.457 1.657 1.405
0.926 1.392 4.519
0.752 3.843 2.055
-0.755 0.903 0.256
-0.678 -1.358 2.789
-2.813 3.361 0.953
3.115 0.071 2.249
-1.847 -0.856 4.240
1.057 0.713 0.604
-1.288 0.264 1.941
0.521 0.581 6.184
2.809 0.995 4.783
2.152 4.787 2.855
-3.078 2.403 2.547
-3.637 1.283 4.846
2.305 -1.551 5.579
-0.957 1.789 4.254
1.331 2.203 2.854
0.789 -0.368 3.628
-0.809 2.790 1.162
1.063 3.152 5.410
4.018 2.711 2.297
```